The following is a DFT calculation (PBE-GGA) of a relaxed CsGa2 crystal.

Cell lengths 4.6985, 4.4345, 11.3647 Å; angles 90.00, 92.46, 90.00 degrees
With the nearest neighbours (Å) after each atom.
Fractional positions:
Cs 0.2290 0.2500 0.2897  7 Ga 3.66-3.95
Cs 0.7710 0.7500 0.7103  7 Ga 3.66-3.95
Ga 0.1780 0.7500 0.0015  6 Ga 2.62-2.78
Ga 0.3279 0.2500 0.8817  4 Ga 2.62-2.77
Ga 0.6721 0.7500 0.1183  4 Ga 2.62-2.77
Ga 0.8220 0.2500 0.9985  6 Ga 2.62-2.78

magnetization	0.00	Bohr magnetons per cell
crystal system	monoclinic
energy relative to the lowest polymorph listed for this composition	0.0000	eV/atom
raw total energy	-14.5	eV per cell

=====

The following is a DFT calculation (PBE-GGA) of a relaxed CsGa crystal.

Cell lengths 6.4421, 6.4421, 7.6562 Å; angles 90.00, 90.00, 120.00 degrees
With the nearest neighbours (Å) after each atom.
Fractional positions:
Cs 0.3333 0.6667 0.2500  5 Ga 3.72-3.83
Cs 0.6667 0.3333 0.7500  5 Ga 3.72-3.83
Ga 0.3333 0.6667 0.7500  5 Cs 3.72-3.83
Ga 0.6667 0.3333 0.2500  5 Cs 3.72-3.83

magnetization	0.30	Bohr magnetons per cell
crystal system	hexagonal
energy relative to the lowest polymorph listed for this composition	0.7102	eV/atom
raw total energy	-5.1	eV per cell

=====

The following is a DFT calculation (PBE-GGA) of a relaxed CsGa crystal.

Cell lengths 6.9799, 6.9799, 4.6033 Å; angles 90.00, 90.00, 126.70 degrees
With the nearest neighbours (Å) after each atom.
Fractional positions:
Cs 0.1542 0.8458 0.7500  7 Ga 3.87-4.16
Cs 0.8458 0.1542 0.2500  7 Ga 3.87-4.16
Ga 0.4647 0.5353 0.7500  2 Ga 2.46
Ga 0.5353 0.4647 0.2500  2 Ga 2.46

magnetization	0.00	Bohr magnetons per cell
crystal system	orthorhombic
energy relative to the lowest polymorph listed for this composition	0.0000	eV/atom
raw total energy	-8.0	eV per cell

=====

The following is a DFT calculation (PBE-GGA) of a relaxed CsGa crystal.

Cell lengths 7.9637, 7.9637, 7.5137 Å; angles 90.00, 90.00, 90.00 degrees
With the nearest neighbours (Å) after each atom.
Fractional positions:
Cs 0.1808 0.1808 0.0000  4 Ga 3.80-3.84, 1 Cs 4.07
Cs 0.3192 0.6808 0.5000  4 Ga 3.80-3.84, 1 Cs 4.07
Cs 0.6808 0.3192 0.5000  4 Ga 3.80-3.84, 1 Cs 4.07
Cs 0.8192 0.8192 0.0000  4 Ga 3.80-3.84, 1 Cs 4.07
Ga 0.1098 0.1098 0.5000  1 Ga 2.47
Ga 0.3902 0.6098 0.0000  1 Ga 2.47
Ga 0.6098 0.3902 0.0000  1 Ga 2.47
Ga 0.8902 0.8902 0.5000  1 Ga 2.47

magnetization	4.09	Bohr magnetons per cell
crystal system	tetragonal
energy relative to the lowest polymorph listed for this composition	0.2959	eV/atom
raw total energy	-13.6	eV per cell

=====

The following is a DFT calculation (PBE-GGA) of a relaxed CsGa crystal.

Cell lengths 15.8248, 4.7005, 7.1195 Å; angles 90.00, 90.00, 90.00 degrees
With the nearest neighbours (Å) after each atom.
Fractional positions:
Cs 0.0000 0.2374 0.0000  2 Ga 3.55-3.57
Cs 0.2327 0.7453 0.0486  3 Ga 3.71-4.08
Cs 0.2673 0.2547 0.5486  3 Ga 3.71-4.08
Cs 0.5000 0.7625 0.5000  2 Ga 3.55-3.57
Cs 0.7327 0.2547 0.5486  3 Ga 3.71-4.08
Cs 0.7673 0.7453 0.0486  3 Ga 3.71-4.08
Ga 0.0000 0.2585 0.5012  4 Ga 2.71-2.73
Ga 0.0862 0.7565 0.5198  3 Ga 2.71-2.73
Ga 0.4138 0.2435 0.0198  3 Ga 2.71-2.73
Ga 0.5000 0.7415 0.0012  4 Ga 2.71-2.73
Ga 0.5862 0.2435 0.0198  3 Ga 2.71-2.73
Ga 0.9138 0.7565 0.5198  3 Ga 2.71-2.73

magnetization	0.00	Bohr magnetons per cell
crystal system	orthorhombic
energy relative to the lowest polymorph listed for this composition	0.0581	eV/atom
raw total energy	-23.3	eV per cell

=====

The following is a DFT calculation (PBE-GGA) of a relaxed CsGa2 crystal.

Cell lengths 8.0024, 8.0024, 7.0606 Å; angles 104.69, 104.69, 30.71 degrees
With the nearest neighbours (Å) after each atom.
Fractional positions:
Cs 0.0960 0.0960 0.3181  10 Ga 3.84-4.24, 2 Cs 4.24
Cs 0.9040 0.9040 0.6819  10 Ga 3.84-4.24, 2 Cs 4.24
Ga 0.2239 0.2239 0.8846  5 Ga 2.64-2.78
Ga 0.3813 0.3813 0.1873  3 Ga 2.64-2.78
Ga 0.6187 0.6187 0.8127  3 Ga 2.64-2.78
Ga 0.7761 0.7761 0.1154  5 Ga 2.64-2.78

magnetization	0.00	Bohr magnetons per cell
crystal system	monoclinic
energy relative to the lowest polymorph listed for this composition	0.0634	eV/atom
raw total energy	-14.1	eV per cell

=====

The following is a DFT calculation (PBE-GGA) of a relaxed CsGa4 crystal.

Cell lengths 6.0774, 6.0774, 6.0774 Å; angles 90.00, 90.00, 90.00 degrees
With the nearest neighbours (Å) after each atom.
Fractional positions:
Cs 0.0000 0.0000 0.0000  6 Ga 3.04
Ga 0.0000 0.0000 0.5000  2 Cs 3.04
Ga 0.0000 0.5000 0.0000  2 Cs 3.04
Ga 0.5000 0.0000 0.0000  2 Cs 3.04
Ga 0.5000 0.5000 0.5000  12 Ga 4.30

magnetization	0.90	Bohr magnetons per cell
crystal system	cubic
raw total energy	-6.7	eV per cell

=====

The following is a DFT calculation (PBE-GGA) of a relaxed CsGa12 crystal.

Cell lengths 7.7570, 7.7570, 7.7570 Å; angles 60.00, 60.00, 60.00 degrees
With the nearest neighbours (Å) after each atom.
Fractional positions:
Cs 0.0000 0.0000 0.0000  24 Ga 4.07
Ga 0.1609 0.5000 0.5000  5 Ga 2.50-2.63
Ga 0.1609 0.5000 0.8391  5 Ga 2.50-2.63
Ga 0.1609 0.8391 0.5000  5 Ga 2.50-2.63
Ga 0.5000 0.1609 0.5000  5 Ga 2.50-2.63
Ga 0.5000 0.1609 0.8391  5 Ga 2.50-2.63
Ga 0.5000 0.5000 0.1609  5 Ga 2.50-2.63
Ga 0.5000 0.5000 0.8391  5 Ga 2.50-2.63
Ga 0.5000 0.8391 0.1609  5 Ga 2.50-2.63
Ga 0.5000 0.8391 0.5000  5 Ga 2.50-2.63
Ga 0.8391 0.1609 0.5000  5 Ga 2.50-2.63
Ga 0.8391 0.5000 0.1609  5 Ga 2.50-2.63
Ga 0.8391 0.5000 0.5000  5 Ga 2.50-2.63

magnetization	0.00	Bohr magnetons per cell
crystal system	cubic
raw total energy	-37.2	eV per cell

=====

no.,ΔE_f (kJ/mol of atoms)
1,-10.9
2,63.1
3,-5.4
4,23.1
5,0.2
6,-4.8
7,121.5
8,-0.1